Record 1
A relaxed Ge3SbF crystal. Source: Alexandria via LeMat-Bulk, functional GGA-PBE.

As for the offset from the most stable computed form: 681 meV per atom. Its crystal system is cubic. Its formation energy without anion corrections is 0.68 eV per atom.

The structure belongs to space group Pm-3m (No. 221); the cell edges are 5.424, 5.424 and 5.424 Å and the angles 90.00°, 90.00° and 90.00°. The inequivalent atoms are Ge at (0.000, 0.000, 0.500), Sb at (0.000, 0.000, 0.000) and F at (0.500, 0.500, 0.500).

---

Record 2
A relaxed GaCo3H crystal. Source: Alexandria via LeMat-Bulk, functional GGA-PBE.

As for the offset from the most stable computed form: 47 meV per atom. Its crystal system is tetragonal.

The structure belongs to space group I4mm (No. 107); the cell edges are 3.583, 3.583 and 7.464 Å and the angles 90.00°, 90.00° and 90.00°. The inequivalent atoms are Ga at (0.000, 0.000, 0.000), Co at (0.000, 0.000, 0.481), Co at (0.000, 0.500, 0.243) and H at (0.000, 0.000, 0.702).

---

Record 3
A relaxed DyPaCrN4 crystal. Source: Alexandria via LeMat-Bulk, functional GGA-PBE.

Its crystal system is monoclinic. Its formation energy without anion corrections is -1.07 eV per atom.

The structure belongs to space group P2_1/m (No. 11); the cell edges are 5.709, 5.272 and 6.642 Å and the angles 90.00°, 108.04° and 90.00°. The inequivalent atoms are Dy at (0.202, 0.250, 0.424), Pa at (0.270, 0.250, 0.943), Cr at (0.267, 0.750, 0.202), N at (0.059, 0.750, 0.364), N at (0.072, 0.750, 0.928) and N at (0.483, 0.501, 0.234).

---

Record 4
A relaxed Y2SiBIr crystal. Source: Alexandria via LeMat-Bulk, functional GGA-PBE.

Its crystal system is tetragonal. Its formation energy without anion corrections is 0.27 eV per atom.

The structure belongs to space group P4/mmm (No. 123); the cell edges are 5.347, 5.347 and 3.622 Å and the angles 90.00°, 90.00° and 90.00°. The inequivalent atoms are Y at (0.000, 0.500, 0.000), Si at (0.000, 0.000, 0.000), B at (0.000, 0.000, 0.500) and Ir at (0.500, 0.500, 0.500).

---

Record 5
A relaxed Ba3Mg2Hg4 crystal. Source: Alexandria via LeMat-Bulk, functional GGA-PBE.

The calculated formation energy is -0.40 eV per atom. Its crystal system is monoclinic.

The structure belongs to space group C2/m (No. 12); the cell edges are 12.523, 5.219 and 9.928 Å and the angles 90.00°, 113.72° and 90.00°. The inequivalent atoms are Ba at (0.000, 0.000, 0.000), Ba at (0.131, 0.500, 0.694), Mg at (0.172, 0.500, 0.344), Hg at (0.091, 0.000, 0.410) and Hg at (0.223, 0.500, 0.077).

---

Record 6
A relaxed CaBeSeBr2 crystal. Source: Alexandria via LeMat-Bulk, functional GGA-PBE.

As for the offset from the most stable computed form: 0 meV per atom. Its crystal system is tetragonal. Its formation energy without anion corrections is -0.92 eV per atom.

The structure belongs to space group P4/mmm (No. 123); the cell edges are 4.778, 4.778 and 5.065 Å and the angles 90.00°, 90.00° and 90.00°. The inequivalent atoms are Ca at (0.000, 0.000, 0.000), Be at (0.500, 0.500, 0.500), Se at (0.500, 0.500, 0.000) and Br at (0.000, 0.500, 0.500).

---

Record 7
A relaxed Ta2CoPt crystal. Source: Alexandria via LeMat-Bulk, functional GGA-PBE.

The calculated formation energy is -0.36 eV per atom. Its crystal system is monoclinic.

The structure belongs to space group Pm (No. 6); the cell edges are 2.793, 4.531 and 4.949 Å and the angles 90.00°, 95.32° and 90.00°. The inequivalent atoms are Ta at (0.000, 0.000, 0.000), Ta at (0.184, 0.500, 0.636), Co at (0.586, 0.500, 0.120) and Pt at (0.600, 0.000, 0.475).

---

Record 8
A relaxed AcGdBiPd crystal. Source: Alexandria via LeMat-Bulk, functional GGA-PBE.

The calculated formation energy is -0.63 eV per atom. Its crystal system is cubic.

The structure belongs to space group F-43m (No. 216); the cell edges are 7.769, 7.769 and 7.769 Å and the angles 90.00°, 90.00° and 90.00°. The inequivalent atoms are Ac at (0.000, 0.000, 0.000), Gd at (0.000, 0.000, 0.500), Bi at (0.250, 0.250, 0.250) and Pd at (0.250, 0.250, 0.750).

---

Record 9
A relaxed Ac2LaSi3Rh12 crystal. Source: Alexandria via LeMat-Bulk, functional GGA-PBE.

Its crystal system is trigonal. Its formation energy without anion corrections is -0.20 eV per atom.

The structure belongs to space group R-3m (No. 166, hexagonal axes); the cell edges are 8.5186, 8.5186 and 16.3805 Å and the angles 90.00°, 90.00° and 120.00°. The inequivalent atoms are Ac at (0.0000, 0.0000, 0.1037), La at (0.0000, 0.0000, 0.5000), Si at (0.0000, 0.5000, 0.0000), Rh at (0.0230, 0.5115, 0.8610) and Rh at (0.0426, 0.5213, 0.3646).

---

Record 10
A relaxed Tl7Sn2 crystal. Source: Alexandria via LeMat-Bulk, functional GGA-PBE.

The calculated formation energy is 0.02 eV per atom. Its crystal system is trigonal.

The structure belongs to space group P-31m (No. 162); the cell edges are 6.0814, 6.0814 and 8.4457 Å and the angles 90.00°, 90.00° and 120.00°. The inequivalent atoms are Tl at (0.0000, 0.0000, 0.0000), Tl at (0.0000, 0.3352, 0.6714) and Sn at (0.3333, 0.6667, 0.0000).

---

Record 11
A relaxed BeAlPt2 crystal. Source: Alexandria via LeMat-Bulk, functional GGA-PBE.

The calculated formation energy is -0.38 eV per atom. Its crystal system is trigonal.

The structure belongs to space group R3m (No. 160, hexagonal axes); the cell edges are 2.8212, 2.8212 and 24.4542 Å and the angles 90.00°, 90.00° and 120.00°. The inequivalent atoms are Be at (0.0000, 0.0000, 0.0000), Al at (0.0000, 0.0000, 0.2521), Pt at (0.0000, 0.0000, 0.5036) and Pt at (0.0000, 0.0000, 0.7352).

---

Record 12
A relaxed Pr6Dy2Tm3 crystal. Source: Alexandria via LeMat-Bulk, functional GGA-PBE.

As for the offset from the most stable computed form: 0 meV per atom. The calculated formation energy is 0.02 eV per atom. Its crystal system is triclinic.

The structure belongs to space group P-1 (No. 2); the cell edges are 6.266, 8.072 and 8.120 Å and the angles 107.33°, 97.41° and 104.93°. The inequivalent atoms are Pr at (0.048, 0.182, 0.408), Pr at (0.136, 0.547, 0.231), Pr at (0.321, 0.271, 0.866), Dy at (0.230, 0.912, 0.047), Tm at (0.410, 0.639, 0.682) and Tm at (0.500, 0.000, 0.500).

---

Record 13
A relaxed AlReTc crystal. Source: Alexandria via LeMat-Bulk, functional GGA-PBE.

As for the offset from the most stable computed form: 0 meV per atom. The calculated formation energy is -0.34 eV per atom. Its crystal system is tetragonal.

The structure belongs to space group I4mm (No. 107); the cell edges are 2.986, 2.986 and 9.631 Å and the angles 90.00°, 90.00° and 90.00°. The inequivalent atoms are Al at (0.000, 0.000, 0.000), Re at (0.000, 0.000, 0.671) and Tc at (0.000, 0.000, 0.333).

---

Record 14
A relaxed NdErTeAs crystal. Source: Alexandria via LeMat-Bulk, functional GGA-PBE.

Its crystal system is trigonal. Its formation energy without anion corrections is -1.44 eV per atom.

The structure belongs to space group R3m (No. 160, hexagonal axes); the cell edges are 4.1887, 4.1887 and 22.3672 Å and the angles 90.00°, 90.00° and 120.00°. The inequivalent atoms are Nd at (0.0000, 0.0000, 0.0000), Er at (0.0000, 0.0000, 0.1893), Te at (0.0000, 0.0000, 0.4310) and As at (0.0000, 0.0000, 0.5922).

---

Record 15
A relaxed Na2SrI4 crystal. Source: Alexandria via LeMat-Bulk, functional GGA-PBE.

As for the offset from the most stable computed form: 0 meV per atom. Its crystal system is orthorhombic. Its formation energy without anion corrections is -1.44 eV per atom.

The structure belongs to space group Imma (No. 74); the cell edges are 9.331, 9.778 and 13.666 Å and the angles 90.00°, 90.00° and 90.00°. The inequivalent atoms are Na at (0.000, 0.250, 0.142), Na at (0.250, 0.250, 0.750), Sr at (0.000, 0.000, 0.500), I at (0.000, 0.019, 0.740) and I at (0.241, 0.250, 0.506).

---

Record 16
A relaxed SmSc2Ga2Ag2 crystal. Source: Alexandria via LeMat-Bulk, functional GGA-PBE.

The calculated formation energy is -0.38 eV per atom. Its crystal system is trigonal.

The structure belongs to space group R-3m (No. 166, hexagonal axes); the cell edges are 4.5619, 4.5619 and 25.2502 Å and the angles 90.00°, 90.00° and 120.00°. The inequivalent atoms are Sm at (0.0000, 0.0000, 0.0000), Sc at (0.0000, 0.0000, 0.1307), Ga at (0.0000, 0.0000, 0.2511) and Ag at (0.0000, 0.0000, 0.4157).

---

Record 17
A relaxed Zr7Sc3 crystal. Source: Alexandria via LeMat-Bulk, functional GGA-PBE.

The calculated formation energy is 0.02 eV per atom. Its crystal system is monoclinic.

The structure belongs to space group C2/m (No. 12); the cell edges are 16.352, 4.519 and 6.425 Å and the angles 90.00°, 101.25° and 90.00°. The inequivalent atoms are Zr at (0.000, 0.000, 0.000), Zr at (0.099, 0.500, 0.797), Zr at (0.100, 0.500, 0.303), Zr at (0.199, 0.000, 0.596), Sc at (0.000, 0.000, 0.500) and Sc at (0.199, 0.000, 0.101).

---

Record 18
A relaxed CdSn3O crystal. Source: Alexandria via LeMat-Bulk, functional GGA-PBE.

As for the offset from the most stable computed form: 1155 meV per atom. Its crystal system is cubic. Its formation energy without anion corrections is 0.93 eV per atom.

The structure belongs to space group Pm-3m (No. 221); the cell edges are 5.465, 5.465 and 5.465 Å and the angles 90.00°, 90.00° and 90.00°. The inequivalent atoms are Cd at (0.000, 0.000, 0.000), Sn at (0.000, 0.000, 0.500) and O at (0.500, 0.500, 0.500).

---

Record 19
A relaxed PrCdHgPb crystal. Source: Alexandria via LeMat-Bulk, functional GGA-PBE.

As for the offset from the most stable computed form: 120 meV per atom. The calculated formation energy is -0.27 eV per atom. Its crystal system is cubic.

The structure belongs to space group F-43m (No. 216); the cell edges are 7.603, 7.603 and 7.603 Å and the angles 90.00°, 90.00° and 90.00°. The inequivalent atoms are Pr at (0.000, 0.000, 0.000), Cd at (0.000, 0.000, 0.500), Hg at (0.250, 0.250, 0.250) and Pb at (0.250, 0.250, 0.750).

---

Record 20
A relaxed HfFeAs2Os crystal. Source: Alexandria via LeMat-Bulk, functional GGA-PBE.

The calculated formation energy is 0.67 eV per atom. Its crystal system is tetragonal.

The structure belongs to space group P4/mmm (No. 123); the cell edges are 4.345, 4.345 and 4.762 Å and the angles 90.00°, 90.00° and 90.00°. The inequivalent atoms are Hf at (0.000, 0.000, 0.000), Fe at (0.000, 0.000, 0.500), As at (0.000, 0.500, 0.500) and Os at (0.500, 0.500, 0.000).

---

no.,N(E_F) (states/eV/atom)
1,0.764
2,1.041
3,0.625
4,1.005
5,0.691
6,0.037
7,0.572
8,1.434
9,0.584
10,0.380
11,0.684
12,1.312
13,0.481
14,0.649
15,0.000
16,0.539
17,1.434
18,0.654
19,0.861
20,0.546